Entry from Alexandria: ReGeAs2Br after structural relaxation (GGA-PBEsol).

Summary:
* SG: No. 123
* ΔE_f (raw): 762 kJ/mol of formula units
* DOS at the Fermi energy: 2.5 states/eV/cell

abc: 4.8621 4.8770 4.8770
angles: 90.00 90.00 90.00
Closest atoms and distances in Å follow each position.
Atoms (fractional coordinates):
Re  0.5000  0.5000  0.5000  8 As 3.44, 4 Br 3.45
As  0.0000  0.0000  0.5000  2 Ge 2.44
As  0.0000  0.5000  0.0000  2 Ge 2.44
Ge  0.0000  0.0000  0.0000  2 Br 2.43, 4 As 2.44
Br  0.5000  0.0000  0.0000  2 Ge 2.43